Computed, not measured: an optimized crystal structure of Sc9Al2Tl at the GGA-PBE level of DFT.

The space group is P4/mmm (No. 123) and the conventional cell measures 4.4594, 4.4594 and 13.3643 Å, with angles of 90.00, 90.00 and 90.00 degrees. Symmetry generates all atoms from Sc at (0.0000, 0.0000, 0.0000), Sc at (0.0000, 0.0000, 0.3358), Sc at (0.0000, 0.5000, 0.1735), Sc at (0.0000, 0.5000, 0.5000), Al at (0.5000, 0.5000, 0.3356) and Tl at (0.5000, 0.5000, 0.0000).

The crystal system is tetragonal. For the density of states at the Fermi level, the calculation gives 1.28 states/eV/atom. For the energy relative to the elements, the calculation gives -0.233 eV/atom.